(1)
# NdTm4Zn4, relaxed, DFT PBE-GGA
data_NdTm4Zn4
_chemical_formula_sum 'Nd2 Tm8 Zn8'
_cell_length_a 9.411
_cell_length_b 9.411
_cell_length_c 5.067
_cell_angle_alpha 90.00
_cell_angle_beta 90.00
_cell_angle_gamma 90.00
_space_group_name_H-M_alt 'I 4/m'
_space_group_IT_number 87
_space_group_name_Hall '-I 4'
loop_
_atom_site_label
_atom_site_fract_x
_atom_site_fract_y
_atom_site_fract_z
_atom_site_occupancy
Nd1 0.000 0.000 0.000 1
Tm1 0.106 0.351 0.000 1
Zn1 0.081 0.185 0.500 1
# Raw total energy ... -3.22 eV/atom
# Energy of formation from the pure elements ... -0.13 eV per atom

=====

(2)
# Nd2TmZn6, relaxed, DFT PBE-GGA
data_Nd2TmZn6
_chemical_formula_sum 'Nd2 Tm1 Zn6'
_cell_length_a 7.8632
_cell_length_b 7.8632
_cell_length_c 3.5509
_cell_angle_alpha 90.00
_cell_angle_beta 90.00
_cell_angle_gamma 120.00
_space_group_name_H-M_alt 'P 6/m m m'
_space_group_IT_number 191
_space_group_name_Hall '-P 6 2'
loop_
_atom_site_label
_atom_site_fract_x
_atom_site_fract_y
_atom_site_fract_z
_atom_site_occupancy
Nd1 0.3333 0.6667 0.0000 1
Tm1 0.0000 0.0000 0.0000 1
Zn1 0.0000 0.3282 0.5000 1
# Raw total energy ... -2.76 eV/atom
# Energy of formation from the pure elements ... -0.35 eV per atom

=====

(3)
# Nd2TmZn4, relaxed, DFT PBE-GGA
data_Nd2TmZn4
_chemical_formula_sum 'Nd4 Tm2 Zn8'
_cell_length_a 5.191
_cell_length_b 5.191
_cell_length_c 12.812
_cell_angle_alpha 90.00
_cell_angle_beta 90.00
_cell_angle_gamma 90.00
_space_group_name_H-M_alt 'I 4/m m m'
_space_group_IT_number 139
_space_group_name_Hall '-I 4 2'
loop_
_atom_site_label
_atom_site_fract_x
_atom_site_fract_y
_atom_site_fract_z
_atom_site_occupancy
Nd1 0.000 0.000 0.223 1
Tm1 0.000 0.000 0.500 1
Zn1 0.000 0.500 0.104 1
# Raw total energy ... -2.88 eV/atom
# Energy of formation from the pure elements ... -0.15 eV per atom